First-principles (PBE) data for a relaxed NdYGe crystal, as listed in OQMD.

Lattice parameters (Å, degrees): 5.022 5.022 5.022 60.00 60.00 60.00
Atoms (fractional coordinates):
Nd 0.000 0.000 0.000
Y 0.750 0.750 0.750
Ge 0.500 0.500 0.500

## Properties
**Energy above the lowest structure with this stoichiometry**: 949 meV/atom


First-principles (PBE) data for a relaxed NdYGe crystal, as listed in OQMD.

Lattice parameters (Å, degrees): 5.257 5.257 6.537 90.00 90.00 120.00
Atoms (fractional coordinates):
Nd 0.333 0.667 0.000
Nd 0.667 0.333 0.500
Y 0.000 0.000 0.249
Y 0.000 0.000 0.749
Ge 0.333 0.667 0.502
Ge 0.667 0.333 0.002

## Properties
**Energy above the lowest structure with this stoichiometry**: 151 meV/atom


First-principles (PBE) data for a relaxed NdYGe crystal, as listed in OQMD.

Lattice parameters (Å, degrees): 8.789 8.789 8.789 150.47 150.47 42.25
Atoms (fractional coordinates):
Nd 0.180 0.180 0.000
Nd 0.820 0.820 0.000
Y 0.000 0.500 0.500
Y 0.500 0.000 0.500
Ge 0.370 0.370 0.000
Ge 0.630 0.630 0.000

## Properties
**Energy above the lowest structure with this stoichiometry**: 0 meV/atom


First-principles (PBE) data for a relaxed Nd2Zn3Ge6 crystal, as listed in OQMD.

Lattice parameters (Å, degrees): 12.748 12.748 5.945 90.00 90.00 153.01
Atoms (fractional coordinates):
Nd 0.106 0.894 0.750
Nd 0.394 0.606 0.750
Nd 0.606 0.394 0.250
Nd 0.894 0.106 0.250
Zn 0.160 0.840 0.250
Zn 0.265 0.265 0.000
Zn 0.265 0.265 0.500
Zn 0.735 0.735 0.000
Zn 0.735 0.735 0.500
Zn 0.840 0.160 0.750
Ge 0.058 0.942 0.250
Ge 0.083 0.485 0.034
Ge 0.083 0.485 0.466
Ge 0.430 0.570 0.250
Ge 0.485 0.083 0.534
Ge 0.485 0.083 0.966
Ge 0.515 0.917 0.034
Ge 0.515 0.917 0.466
Ge 0.570 0.430 0.750
Ge 0.917 0.515 0.534
Ge 0.917 0.515 0.966
Ge 0.942 0.058 0.750

## Properties
**Electronic total energy**: -91.0 eV/cell


First-principles (PBE) data for a relaxed NdZnGe crystal, as listed in OQMD.

Lattice parameters (Å, degrees): 4.295 4.295 16.555 90.00 90.00 120.00
Atoms (fractional coordinates):
Nd 0.000 0.000 0.000
Nd 0.000 0.000 0.250
Nd 0.000 0.000 0.500
Nd 0.000 0.000 0.750
Zn 0.333 0.667 0.141
Zn 0.333 0.667 0.359
Zn 0.667 0.333 0.641
Zn 0.667 0.333 0.859
Ge 0.333 0.667 0.616
Ge 0.333 0.667 0.884
Ge 0.667 0.333 0.116
Ge 0.667 0.333 0.384

## Properties
**Electronic total energy**: -50.9 eV/cell


First-principles (PBE) data for a relaxed NiGe3 crystal, as listed in OQMD.

Lattice parameters (Å, degrees): 4.033 4.033 4.033 90.00 90.00 90.00
Atoms (fractional coordinates):
Ni 0.000 0.000 0.000
Ge 0.000 0.500 0.500
Ge 0.500 0.000 0.500
Ge 0.500 0.500 0.000

## Properties
**Electronic total energy**: -18.4 eV/cell


First-principles (PBE) data for a relaxed Ni15Ge crystal, as listed in OQMD.

Lattice parameters (Å, degrees): 3.550 3.549 40.695 90.00 90.00 90.00
Atoms (fractional coordinates):
Ni 0.250 0.000 0.021
Ni 0.250 0.000 0.106
Ni 0.250 0.000 0.191
Ni 0.250 0.000 0.276
Ni 0.250 0.000 0.679
Ni 0.250 0.000 0.766
Ni 0.250 0.000 0.852
Ni 0.250 0.000 0.936
Ni 0.250 0.500 0.064
Ni 0.250 0.500 0.149
Ni 0.250 0.500 0.233
Ni 0.250 0.500 0.724
Ni 0.250 0.500 0.809
Ni 0.250 0.500 0.894
Ni 0.250 0.500 0.979
Ni 0.750 0.000 0.064
Ni 0.750 0.000 0.148
Ni 0.750 0.000 0.234
Ni 0.750 0.000 0.321
Ni 0.750 0.000 0.724
Ni 0.750 0.000 0.809
Ni 0.750 0.000 0.894
Ni 0.750 0.000 0.979
Ni 0.750 0.500 0.021
Ni 0.750 0.500 0.106
Ni 0.750 0.500 0.191
Ni 0.750 0.500 0.276
Ni 0.750 0.500 0.767
Ni 0.750 0.500 0.851
Ni 0.750 0.500 0.936
Ge 0.250 0.500 0.319
Ge 0.750 0.500 0.681

## Properties
**Energy above the lowest structure with this stoichiometry**: 0 meV/atom


First-principles (PBE) data for a relaxed Ni3Ge2 crystal, as listed in OQMD.

Lattice parameters (Å, degrees): 6.837 6.837 6.837 42.95 42.95 42.95
Atoms (fractional coordinates):
Ni 0.110 0.602 0.602
Ni 0.398 0.398 0.890
Ni 0.398 0.890 0.398
Ni 0.602 0.110 0.602
Ni 0.602 0.602 0.110
Ni 0.890 0.398 0.398
Ge 0.119 0.119 0.119
Ge 0.331 0.331 0.331
Ge 0.669 0.669 0.669
Ge 0.881 0.881 0.881

## Properties
**Electronic total energy**: -55.0 eV/cell